1.
Below is an optimized crystal structure of BaIr4Pb, with properties calculated at the GGA-PBE level.

Properties
E_form: 203 meV per atom
electronic total energy: -6.643 eV per atom

a = 7.8139 Å, b = 7.8139 Å, c = 7.8139 Å
α = 90.00°, β = 90.00°, γ = 90.00°
Last column: nearest neighbours and their distance in Å.
Space group F-43m (No. 216)
Inequivalent atoms, fractional coordinates:
Ba1 0.0000 0.0000 0.0000  12 Ir 3.24, 4 Pb 3.38
Ir1 0.1243 0.1243 0.6243  6 Ir 2.75-2.78
Pb1 0.2500 0.2500 0.2500  12 Ir 3.24, 4 Ba 3.38

2.
Below is an optimized crystal structure of BaIrPb2, with properties calculated at the GGA-PBE level.

Properties
E_form: 48 meV per atom
electronic total energy: -4.502 eV per atom

a = 3.7701 Å, b = 4.5901 Å, c = 13.9577 Å
α = 90.00°, β = 90.00°, γ = 90.00°
Last column: nearest neighbours and their distance in Å.
Space group Imm2 (No. 44)
Inequivalent atoms, fractional coordinates:
Ba1 0.0000 0.0000 0.0000  2 Ir 3.46, 6 Pb 3.51-3.60, 2 Ba 3.77
Ir1 0.0000 0.5000 0.7079  6 Pb 2.78-2.98
Pb1 0.0000 0.0000 0.3540  2 Ir 2.78
Pb2 0.0000 0.5000 0.1901  4 Ir 2.98, 2 Pb 3.24

3.
Below is an optimized crystal structure of BaIrPb2, with properties calculated at the GGA-PBE level.

Properties
E_form: 356 meV per atom
electronic total energy: -4.194 eV per atom

a = 6.5101 Å, b = 11.8205 Å, c = 3.5495 Å
α = 90.00°, β = 122.07°, γ = 90.00°
Last column: nearest neighbours and their distance in Å.
Space group C2/m (No. 12)
Inequivalent atoms, fractional coordinates:
Ba1 0.0000 0.0000 0.0000  4 Ir 3.26-3.31, 4 Pb 3.39, 2 Ba 3.55
Ir1 0.0000 0.5000 0.0000  4 Ba 3.26-3.31, 4 Pb 3.39, 2 Ir 3.55
Pb1 0.2500 0.2500 0.5000  6 Pb 3.26-3.55, 2 Ba 3.39, 2 Ir 3.39

4.
Below is an optimized crystal structure of Ba8Ir2Pb, with properties calculated at the GGA-PBE level.

Properties
E_form: 12 meV per atom
electronic total energy: -3.335 eV per atom

a = 10.4425 Å, b = 10.4425 Å, c = 6.5262 Å
α = 90.00°, β = 90.00°, γ = 120.00°
Last column: nearest neighbours and their distance in Å.
Space group P-3 (No. 147)
Inequivalent atoms, fractional coordinates:
Ba1 0.1721 0.3471 0.2473  1 Ir 2.90
Ba2 0.3333 0.6667 0.7541  2 Ir 3.09-3.44
Ir1 0.3333 0.6667 0.2805  4 Ba 2.90-3.09
Pb1 0.0000 0.0000 0.5000  6 Ba 3.55

5.
Below is an optimized crystal structure of BaIrPb2, with properties calculated at the GGA-PBE level.

Properties
E_form: 29 meV per atom
electronic total energy: -4.521 eV per atom

a = 4.6394 Å, b = 4.6343 Å, c = 6.0922 Å
α = 90.00°, β = 90.12°, γ = 90.00°
Last column: nearest neighbours and their distance in Å.
Space group Pm (No. 6)
Inequivalent atoms, fractional coordinates:
Ba1 0.0000 0.0000 0.0000  4 Ir 3.58, 8 Pb 3.82-3.84
Ir1 0.4992 0.5000 0.2360  4 Pb 2.81-2.82
Pb1 0.0001 0.5000 0.4982  2 Ir 2.82
Pb2 0.5003 0.0000 0.4983  2 Ir 2.81

6.
Below is an optimized crystal structure of Ba2SbIrPb, with properties calculated at the GGA-PBE level.

Properties
formation energy (no corrections): 0.25 eV/atom
electronic total energy: -3.853 eV per atom

a = 6.5396 Å, b = 6.5396 Å, c = 4.9989 Å
α = 90.00°, β = 90.00°, γ = 90.00°
Last column: nearest neighbours and their distance in Å.
Space group P4/mmm (No. 123)
Inequivalent atoms, fractional coordinates:
Ba1 0.0000 0.5000 0.0000  2 Pb 3.27
Sb1 0.0000 0.0000 0.5000  8 Ba 4.12
Ir1 0.5000 0.5000 0.5000  2 Pb 2.50
Pb1 0.5000 0.5000 0.0000  2 Ir 2.50

7.
Below is an optimized crystal structure of BaSc2IrPb, with properties calculated at the GGA-PBE level.

Properties
E_form: -183 meV per atom
electronic total energy: -5.614 eV per atom

a = 5.1347 Å, b = 5.1347 Å, c = 5.9718 Å
α = 90.00°, β = 90.00°, γ = 90.00°
Last column: nearest neighbours and their distance in Å.
Space group P4/mmm (No. 123)
Inequivalent atoms, fractional coordinates:
Ba1 0.0000 0.0000 0.0000  2 Ir 2.99
Sc1 0.0000 0.5000 0.5000  2 Ir 2.57
Ir1 0.0000 0.0000 0.5000  4 Sc 2.57
Pb1 0.5000 0.5000 0.0000  4 Ba 3.63, 8 Sc 3.94

8.
Below is an optimized crystal structure of Ba2IrPbSe, with properties calculated at the GGA-PBE level.

Properties
formation energy (no corrections): 0.01 eV/atom
electronic total energy: -3.973 eV per atom

a = 6.5482 Å, b = 6.5482 Å, c = 4.9487 Å
α = 90.00°, β = 90.00°, γ = 90.00°
Last column: nearest neighbours and their distance in Å.
Space group P4/mmm (No. 123)
Inequivalent atoms, fractional coordinates:
Ba1 0.0000 0.5000 0.0000  2 Pb 3.27
Ir1 0.0000 0.0000 0.5000  2 Pb 2.47
Pb1 0.0000 0.0000 0.0000  2 Ir 2.47
Se1 0.5000 0.5000 0.5000  8 Ba 4.10